(1)
Material: Ac2Mg5Tl3
Method: DFT, PBE
State: relaxed

- excess energy over the best structure of this formula in the dataset (meV per atom) = 88

Lattice parameters (Å, degrees): 4.715 4.715 13.172 90.00 90.00 90.00
Element x y z (fractional)
Ac 0.000 0.500 0.244
Ac 0.500 0.000 0.756
Mg 0.000 0.000 0.500
Mg 0.000 0.500 0.639
Mg 0.500 0.000 0.361
Mg 0.500 0.500 0.000
Mg 0.500 0.500 0.500
Tl 0.000 0.000 0.000
Tl 0.000 0.500 0.852
Tl 0.500 0.000 0.148

=====

(2)
Material: AcMg2Tl2
Method: DFT, PBE
State: relaxed

Lattice parameters (Å, degrees): 4.739 4.739 12.744 90.00 90.00 90.00
Element x y z (fractional)
Ac 0.000 0.000 0.000
Ac 0.500 0.500 0.500
Mg 0.000 0.500 0.250
Mg 0.000 0.500 0.750
Mg 0.500 0.000 0.250
Mg 0.500 0.000 0.750
Tl 0.000 0.000 0.384
Tl 0.000 0.000 0.616
Tl 0.500 0.500 0.116
Tl 0.500 0.500 0.884

=====

(3)
Material: Ac4MgTl2
Method: DFT, PBE
State: relaxed

- excess energy over the best structure of this formula in the dataset (meV per atom) = 88

Lattice parameters (Å, degrees): 8.084 7.415 9.419 90.00 109.39 90.00
Element x y z (fractional)
Ac 0.001 0.250 0.484
Ac 0.190 0.505 0.221
Ac 0.190 0.995 0.221
Ac 0.346 0.250 0.879
Ac 0.654 0.750 0.121
Ac 0.810 0.005 0.779
Ac 0.810 0.495 0.779
Ac 0.999 0.750 0.516
Mg 0.434 0.750 0.719
Mg 0.566 0.250 0.281
Tl 0.206 0.750 0.907
Tl 0.443 0.250 0.548
Tl 0.557 0.750 0.452
Tl 0.794 0.250 0.093

=====

(4)
Material: AcMg9Tl3
Method: DFT, PBE
State: relaxed

Lattice parameters (Å, degrees): 7.939 7.939 7.925 98.31 98.31 134.73
Element x y z (fractional)
Ac 0.000 0.000 0.000
Mg 0.000 0.000 0.500
Mg 0.011 0.657 0.640
Mg 0.283 0.496 0.785
Mg 0.343 0.989 0.360
Mg 0.496 0.283 0.785
Mg 0.504 0.717 0.215
Mg 0.657 0.011 0.640
Mg 0.717 0.504 0.215
Mg 0.989 0.343 0.360
Tl 0.000 0.500 0.000
Tl 0.500 0.000 0.000
Tl 0.500 0.500 0.500

=====

(5)
Material: Ac2Mg17Tl3
Method: DFT, PBE
State: relaxed

Lattice parameters (Å, degrees): 8.501 8.501 8.501 84.53 84.53 84.53
Element x y z (fractional)
Ac 0.143 0.143 0.143
Ac 0.857 0.857 0.857
Mg 0.000 0.500 0.500
Mg 0.170 0.170 0.692
Mg 0.170 0.692 0.170
Mg 0.246 0.500 0.754
Mg 0.246 0.754 0.500
Mg 0.308 0.830 0.830
Mg 0.395 0.395 0.395
Mg 0.500 0.000 0.500
Mg 0.500 0.246 0.754
Mg 0.500 0.500 0.000
Mg 0.500 0.754 0.246
Mg 0.605 0.605 0.605
Mg 0.692 0.170 0.170
Mg 0.754 0.246 0.500
Mg 0.754 0.500 0.246
Mg 0.830 0.308 0.830
Mg 0.830 0.830 0.308
Tl 0.000 0.000 0.500
Tl 0.000 0.500 0.000
Tl 0.500 0.000 0.000

=====

(6)
Material: Ac2Mg12Tl5
Method: DFT, PBE
State: relaxed

Lattice parameters (Å, degrees): 7.975 7.975 7.975 84.67 84.67 84.67
Element x y z (fractional)
Ac 0.167 0.167 0.167
Ac 0.833 0.833 0.833
Mg 0.150 0.150 0.666
Mg 0.150 0.666 0.150
Mg 0.195 0.500 0.805
Mg 0.195 0.805 0.500
Mg 0.334 0.850 0.850
Mg 0.500 0.195 0.805
Mg 0.500 0.805 0.195
Mg 0.666 0.150 0.150
Mg 0.805 0.195 0.500
Mg 0.805 0.500 0.195
Mg 0.850 0.334 0.850
Mg 0.850 0.850 0.334
Tl 0.000 0.500 0.500
Tl 0.399 0.399 0.399
Tl 0.500 0.000 0.500
Tl 0.500 0.500 0.000
Tl 0.601 0.601 0.601

=====

(7)
Material: Ac2Mg3Tl4
Method: DFT, PBE
State: relaxed

Lattice parameters (Å, degrees): 9.331 9.331 8.887 90.00 90.00 137.57
Element x y z (fractional)
Ac 0.110 0.890 0.911
Ac 0.390 0.610 0.411
Ac 0.610 0.390 0.589
Ac 0.890 0.110 0.089
Mg 0.000 0.000 0.500
Mg 0.028 0.472 0.750
Mg 0.472 0.028 0.250
Mg 0.500 0.500 0.000
Mg 0.528 0.972 0.750
Mg 0.972 0.528 0.250
Tl 0.180 0.820 0.528
Tl 0.197 0.303 0.750
Tl 0.303 0.197 0.250
Tl 0.320 0.680 0.028
Tl 0.680 0.320 0.972
Tl 0.697 0.803 0.750
Tl 0.803 0.697 0.250
Tl 0.820 0.180 0.472

=====

(8)
Material: Ac5MgTl4
Method: DFT, PBE
State: relaxed

Lattice parameters (Å, degrees): 4.037 4.037 21.559 90.00 90.00 90.00
Element x y z (fractional)
Ac 0.000 0.000 0.000
Ac 0.000 0.000 0.203
Ac 0.000 0.000 0.403
Ac 0.000 0.000 0.597
Ac 0.000 0.000 0.797
Mg 0.500 0.500 0.500
Tl 0.500 0.500 0.102
Tl 0.500 0.500 0.307
Tl 0.500 0.500 0.693
Tl 0.500 0.500 0.898

=====

no.,DFT formation energy (meV per atom)
1,-124.5
2,-256.2
3,-83.9
4,-79.3
5,67.2
6,-90.3
7,-242.7
8,-293.1